VASP calculation (PBE-GGA) on a relaxed Tl2Hg8Au crystal.

Output
The total magnetization is 0.0 μB per formula unit. The value obtained for the energy above the most stable polymorph in this dataset is 0 meV/atom. The crystal system is tetragonal. For the formation energy, the calculation gives -11 meV per atom. The energy is -0.96 eV/atom.

Cell and atoms, written as CIF:
```
data_Tl2Hg8Au
_chemical_formula_sum 'Tl2 Hg8 Au1'
_space_group_name_H-M_alt 'P 4/m m m'
_space_group_IT_number 123
_space_group_name_Hall '-P 4 2'
_cell_length_a 4.948
_cell_length_b 4.948
_cell_length_c 12.543
_cell_angle_alpha 90.00
_cell_angle_beta 90.00
_cell_angle_gamma 90.00
loop_
_atom_site_label
_atom_site_type_symbol
_atom_site_fract_x
_atom_site_fract_y
_atom_site_fract_z
Tl1 Tl 0.000 0.000 0.194
Hg1 Hg 0.000 0.500 0.000
Hg2 Hg 0.000 0.500 0.372
Hg3 Hg 0.500 0.500 0.184
Au1 Au 0.000 0.000 0.500
```